# 1
ScTa2NiPb | GGA-PBE | optimized geometry

Calculated values
**Formation energy from the elements**: 1.6923 eV/atom
**N(E_F)**: 10.158 states/eV/cell
**Symmetry**: P4/mmm
**Total DFT energy (no corrections)**: -31.1 eV per cell

```
data_ScTa2NiPb
_chemical_formula_sum 'Sc1 Ta2 Ni1 Pb1'
_symmetry_space_group_name_H-M 'P 1'
_symmetry_Int_Tables_number 1
_symmetry_space_group_name_Hall 'P 1'
_cell_length_a 5.2016
_cell_length_b 5.2016
_cell_length_c 4.6530
_cell_angle_alpha 90.00
_cell_angle_beta 90.00
_cell_angle_gamma 90.00
loop_
_atom_site_label
_atom_site_fract_x
_atom_site_fract_y
_atom_site_fract_z
Sc1 0.0000 0.0000 0.0000
Ta1 0.0000 0.5000 0.5000
Ta2 0.5000 0.0000 0.5000
Ni1 0.5000 0.5000 0.0000
Pb1 0.5000 0.5000 0.5000
```

=====

# 2
YNi2Ir2 | GGA-PBE | optimized geometry

Calculated values
**Formation energy from the elements**: -0.2101 eV/atom
**Excess energy over the best structure of this formula in the dataset**: 18 meV/atom
**N(E_F)**: 13.580 states/eV/cell
**Symmetry**: I4/mmm
**Total DFT energy (no corrections)**: -73.6 eV per cell

```
data_YNi2Ir2
_chemical_formula_sum 'Y2 Ni4 Ir4'
_symmetry_space_group_name_H-M 'P 1'
_symmetry_Int_Tables_number 1
_symmetry_space_group_name_Hall 'P 1'
_cell_length_a 10.9276
_cell_length_b 10.9276
_cell_length_c 10.9276
_cell_angle_alpha 159.14
_cell_angle_beta 159.14
_cell_angle_gamma 29.67
loop_
_atom_site_label
_atom_site_fract_x
_atom_site_fract_y
_atom_site_fract_z
Y1 0.1255 0.1255 0.0000
Y2 0.8745 0.8745 0.0000
Ni1 0.0000 0.5000 0.5000
Ni2 0.3217 0.3217 0.0000
Ni3 0.5000 0.0000 0.5000
Ni4 0.6783 0.6783 0.0000
Ir1 0.2500 0.7500 0.5000
Ir2 0.4315 0.4315 0.0000
Ir3 0.5685 0.5685 0.0000
Ir4 0.7500 0.2500 0.5000
```

=====

# 3
LiTlIn | GGA-PBE | optimized geometry

Calculated values
**Formation energy from the elements**: -0.1457 eV/atom
**Excess energy over the best structure of this formula in the dataset**: 0 meV/atom
**N(E_F)**: 2.465 states/eV/cell
**Symmetry**: Pnma
**Total DFT energy (no corrections)**: -29.8 eV per cell

```
data_LiTlIn
_chemical_formula_sum 'Li4 Tl4 In4'
_symmetry_space_group_name_H-M 'P 1'
_symmetry_Int_Tables_number 1
_symmetry_space_group_name_Hall 'P 1'
_cell_length_a 6.4659
_cell_length_b 4.7095
_cell_length_c 9.3542
_cell_angle_alpha 90.00
_cell_angle_beta 90.00
_cell_angle_gamma 90.00
loop_
_atom_site_label
_atom_site_fract_x
_atom_site_fract_y
_atom_site_fract_z
Li1 0.1546 0.2500 0.1132
Li2 0.3454 0.7500 0.6132
Li3 0.6546 0.2500 0.3868
Li4 0.8454 0.7500 0.8868
Tl1 0.0978 0.2500 0.7897
Tl2 0.4022 0.7500 0.2897
Tl3 0.5978 0.2500 0.7103
Tl4 0.9022 0.7500 0.2103
In1 0.1405 0.2500 0.4428
In2 0.3595 0.7500 0.9428
In3 0.6405 0.2500 0.0572
In4 0.8595 0.7500 0.5572
```

=====

Please write out number 1 again, unchanged.
ScTa2NiPb | GGA-PBE | optimized geometry

Calculated values
**Formation energy from the elements**: 1.6923 eV/atom
**N(E_F)**: 10.158 states/eV/cell
**Symmetry**: P4/mmm
**Total DFT energy (no corrections)**: -31.1 eV per cell

```
data_ScTa2NiPb
_chemical_formula_sum 'Sc1 Ta2 Ni1 Pb1'
_symmetry_space_group_name_H-M 'P 1'
_symmetry_Int_Tables_number 1
_symmetry_space_group_name_Hall 'P 1'
_cell_length_a 5.2016
_cell_length_b 5.2016
_cell_length_c 4.6530
_cell_angle_alpha 90.00
_cell_angle_beta 90.00
_cell_angle_gamma 90.00
loop_
_atom_site_label
_atom_site_fract_x
_atom_site_fract_y
_atom_site_fract_z
Sc1 0.0000 0.0000 0.0000
Ta1 0.0000 0.5000 0.5000
Ta2 0.5000 0.0000 0.5000
Ni1 0.5000 0.5000 0.0000
Pb1 0.5000 0.5000 0.5000
```

=====

Q: Among the records above, which one has the highest total DFT energy (no corrections)?
A: LiTlIn